Compound: Li6CaCeO6
Source: the Alexandria database
Functional: PBE
Structure: relaxed

Lattice parameters (Å, degrees): 5.8616 5.8616 10.7590 90.00 90.00 120.00
Last column: nearest neighbours and their distance in Å.
Positions (direct):
O 0.6530 0.6961 0.8808  4 Li 1.98-2.11
O 0.6530 0.9568 0.6192  4 Li 1.98-2.11
O 0.3470 0.3039 0.1192  4 Li 1.98-2.11
O 0.9568 0.6530 0.1192  4 Li 1.98-2.11
O 0.3470 0.0432 0.3808  4 Li 1.98-2.11
O 0.0432 0.6961 0.6192  4 Li 1.98-2.11
O 0.6961 0.6530 0.3808  4 Li 1.98-2.11
O 0.0432 0.3470 0.8808  4 Li 1.98-2.11
O 0.9568 0.3039 0.3808  4 Li 1.98-2.11
O 0.6961 0.0432 0.1192  4 Li 1.98-2.11
O 0.3039 0.9568 0.8808  4 Li 1.98-2.11
O 0.3039 0.3470 0.6192  4 Li 1.98-2.11
Li 0.6310 0.6898 0.0647  4 O 1.98-2.11
Li 0.6310 0.9412 0.4353  4 O 1.98-2.11
Li 0.3102 0.3690 0.4353  4 O 1.98-2.11
Li 0.6898 0.0588 0.9353  4 O 1.98-2.11
Li 0.0588 0.3690 0.0647  4 O 1.98-2.11
Li 0.3690 0.3102 0.9353  4 O 1.98-2.11
Li 0.3690 0.0588 0.5647  4 O 1.98-2.11
Li 0.0588 0.6898 0.4353  4 O 1.98-2.11
Li 0.6898 0.6310 0.5647  4 O 1.98-2.11
Li 0.9412 0.6310 0.9353  4 O 1.98-2.11
Li 0.9412 0.3102 0.5647  4 O 1.98-2.11
Li 0.3102 0.9412 0.0647  4 O 1.98-2.11
Ce 0.6667 0.3333 0.2500  6 O 2.28
Ce 0.3333 0.6667 0.7500  6 O 2.28
Ca 0.0000 0.0000 0.7500  6 O 2.38
Ca 0.0000 0.0000 0.2500  6 O 2.38

Calculated values
**Total magnetic moment**: 0.000 μB per atom
**DFT total energy**: -0.2141 Ha/atom
**E_form (uncorrected)**: -2.315 eV/atom



Compound: Cs2CdO2
Source: the Alexandria database
Functional: PBE
Structure: relaxed

Lattice parameters (Å, degrees): 6.9489 6.4597 11.2571 90.00 90.00 90.00
Last column: nearest neighbours and their distance in Å.
Positions (direct):
Cd 0.0331 0.2500 0.0000  4 O 2.23-2.34
Cd 0.4669 0.7500 0.5000  4 O 2.23-2.34
Cd 0.5331 0.2500 0.5000  4 O 2.23-2.34
Cd 0.9669 0.7500 0.0000  4 O 2.23-2.34
Cs 0.1284 0.4020 0.6563  3 O 2.94-3.16
Cs 0.8716 0.9020 0.6563  3 O 2.94-3.16
Cs 0.3716 0.5980 0.1563  3 O 2.94-3.16
Cs 0.3716 0.9020 0.8437  3 O 2.94-3.16
Cs 0.6284 0.4020 0.8437  3 O 2.94-3.16
Cs 0.8716 0.5980 0.3437  3 O 2.94-3.16
Cs 0.1284 0.0980 0.3437  3 O 2.94-3.16
Cs 0.6284 0.0980 0.1563  3 O 2.94-3.16
O 0.1757 0.9849 0.0921  2 Cd 2.23-2.34
O 0.6757 0.5151 0.5921  2 Cd 2.23-2.34
O 0.8243 0.0151 0.9079  2 Cd 2.23-2.34
O 0.3243 0.0151 0.5921  2 Cd 2.23-2.34
O 0.1757 0.5151 0.9079  2 Cd 2.23-2.34
O 0.8243 0.4849 0.0921  2 Cd 2.23-2.34
O 0.6757 0.9849 0.4079  2 Cd 2.23-2.34
O 0.3243 0.4849 0.4079  2 Cd 2.23-2.34

Calculated values
**Total magnetic moment**: 0.000 μB per atom
**DFT total energy**: -0.1314 Ha/atom
**E_form (uncorrected)**: -1.067 eV/atom



Compound: CsMgHg6
Source: the Alexandria database
Functional: PBE
Structure: relaxed

Lattice parameters (Å, degrees): 7.7412 7.7412 6.6323 54.30 54.30 60.00
Last column: nearest neighbours and their distance in Å.
Positions (direct):
Hg 0.5282 0.1315 0.2088  1 Mg 2.88, 3 Hg 3.00-3.07
Hg 0.8685 0.8685 0.7912  1 Mg 2.88, 3 Hg 3.00-3.07
Hg 0.1315 0.5282 0.2088  1 Mg 2.88, 3 Hg 3.00-3.07
Hg 0.1315 0.1315 0.2088  1 Mg 2.88, 3 Hg 3.00-3.07
Hg 0.8685 0.4718 0.7912  1 Mg 2.88, 3 Hg 3.00-3.07
Hg 0.4718 0.8685 0.7912  1 Mg 2.88, 3 Hg 3.00-3.07
Mg 0.0000 0.0000 0.0000  6 Hg 2.88
Cs 0.5000 0.5000 0.5000  18 Hg 3.90-4.15

Calculated values
**Total magnetic moment**: 0.000 μB per atom
**DFT total energy**: -0.0249 Ha/atom
**E_form**: -0.1452 eV per atom



Compound: ZnHg3Te
Source: the Alexandria database
Functional: PBE
Structure: relaxed

Lattice parameters (Å, degrees): 5.9408 5.9408 5.9408 90.00 90.00 90.00
Last column: nearest neighbours and their distance in Å.
Positions (direct):
Hg 0.0000 0.5000 0.0000  2 Te 2.97
Hg 0.5000 0.0000 0.0000  2 Te 2.97
Hg 0.0000 0.0000 0.5000  2 Te 2.97
Zn 0.5000 0.5000 0.5000  12 Hg 4.20
Te 0.0000 0.0000 0.0000  6 Hg 2.97

Calculated values
**Total magnetic moment**: 0.000 μB per atom
**DFT total energy**: -0.0275 Ha/atom
**E_form (uncorrected)**: 0.316 eV/atom
**Energy above the most stable polymorph in this dataset**: 123 meV per atom



Compound: ScTaCrCoAs
Source: the Alexandria database
Functional: PBE
Structure: relaxed

Lattice parameters (Å, degrees): 4.0746 3.4549 5.6421 90.00 90.00 90.00
Last column: nearest neighbours and their distance in Å.
Positions (direct):
Ta 0.0000 0.0000 0.2974  2 Co 2.57, 4 Cr 2.67, 2 As 2.70
Co 0.5000 0.0000 0.5760  1 As 2.29, 2 Cr 2.29
Sc 0.0000 0.5000 0.7836  4 As 2.90, 4 Co 2.92, 2 Ta 3.24
As 0.5000 0.0000 0.9822  1 Co 2.29, 2 Cr 2.53
Cr 0.5000 0.5000 0.3087  2 Co 2.29, 2 As 2.53

Calculated values
**Total magnetic moment**: 0.000 μB per atom
**DFT total energy**: -0.3036 Ha/atom
**E_form**: -0.3483 eV per atom
**Energy above the most stable polymorph in this dataset**: 0 meV per atom